[1]
The following is a DFT calculation (PBE) of an optimized crystal structure of CoCuW3.

Cell: 4.4485 4.4485 4.4485 Å, 90.00 90.00 90.00°
Closest atoms and distances in Å follow each position.
Space group Pm-3m (No. 221)
Symmetry-distinct sites (fractional):
Co1 0.0000 0.0000 0.0000 x1  12 W 3.15
Cu1 0.5000 0.5000 0.5000 x1  6 W 2.22
W1 0.0000 0.5000 0.5000 x3  2 Cu 2.22

## Properties
electronic total energy	-7.896	eV/atom
magnetization	0.00	μB/f.u.
energy above the most stable polymorph in this dataset	583	meV per atom
calculated volume	17.606	A^3/atom
Fermi-level density of states	10.449	states/eV/cell

[2]
The following is a DFT calculation (PBE) of an optimized crystal structure of Co2CuW.

Cell: 2.6112 3.7422 5.0363 Å, 90.00 90.00 90.00°
Closest atoms and distances in Å follow each position.
Space group Pmm2 (No. 25)
Symmetry-distinct sites (fractional):
Co1 0.0000 0.0000 0.0000 x1  2 W 2.51-2.53, 4 Cu 2.54, 6 Co 2.61-2.63
Co2 0.5000 0.5000 0.2609 x1  2 Cu 2.44-2.60, 4 W 2.57, 6 Co 2.61-2.63
Cu1 0.5000 0.5000 0.7772 x1  6 Co 2.44-2.60, 2 Cu 2.61, 4 W 2.68
W1 0.0000 0.0000 0.4979 x1  6 Co 2.51-2.57, 2 W 2.61, 4 Cu 2.68

## Properties
electronic total energy	-7.614	eV/atom
magnetization	1.00	μB/f.u.
energy above the most stable polymorph in this dataset	148	meV per atom
calculated volume	12.303	A^3/atom
Fermi-level density of states	4.401	states/eV/cell

[3]
The following is a DFT calculation (PBE) of an optimized crystal structure of CoCu3W.

Cell: 4.2466 4.2466 4.2466 Å, 90.00 90.00 90.00°
Closest atoms and distances in Å follow each position.
Space group Pm-3m (No. 221)
Symmetry-distinct sites (fractional):
Co1 0.0000 0.0000 0.0000 x1  6 Cu 2.12
Cu1 0.0000 0.0000 0.5000 x3  2 Co 2.12
W1 0.5000 0.5000 0.5000 x1  12 Cu 3.00

## Properties
electronic total energy	-4.994	eV/atom
magnetization	3.34	μB/f.u.
energy above the most stable polymorph in this dataset	0	meV per atom
calculated volume	15.317	A^3/atom
Fermi-level density of states	5.474	states/eV/cell

[4]
The following is a DFT calculation (PBE) of an optimized crystal structure of Co3CuW.

Cell: 4.1335 4.1335 4.1335 Å, 90.00 90.00 90.00°
Closest atoms and distances in Å follow each position.
Space group Pm-3m (No. 221)
Symmetry-distinct sites (fractional):
Co1 0.0000 0.0000 0.5000 x3  2 Cu 2.07
Cu1 0.0000 0.0000 0.0000 x1  6 Co 2.07
W1 0.5000 0.5000 0.5000 x1  12 Co 2.92

## Properties
electronic total energy	-6.111	eV/atom
magnetization	1.65	μB/f.u.
energy above the most stable polymorph in this dataset	0	meV per atom
calculated volume	14.125	A^3/atom
Fermi-level density of states	13.235	states/eV/cell

[5]
The following is a DFT calculation (PBE) of an optimized crystal structure of Co2CuW.

Cell: 3.5442 3.5442 7.6733 Å, 90.00 90.00 90.00°
Closest atoms and distances in Å follow each position.
Space group I-4m2 (No. 119)
Symmetry-distinct sites (fractional):
Co1 0.0000 0.0000 0.0000 x2  4 Cu 2.51, 4 W 2.61, 4 Co 2.61
Co2 0.0000 0.5000 0.2500 x2  4 W 2.51, 4 Co 2.61, 4 Cu 2.61
Cu1 0.0000 0.0000 0.5000 x2  8 Co 2.51-2.61, 4 W 2.61
W1 0.0000 0.5000 0.7500 x2  8 Co 2.51-2.61, 4 Cu 2.61

## Properties
electronic total energy	-7.688	eV/atom
magnetization	0.00	μB/f.u.
energy above the most stable polymorph in this dataset	75	meV per atom
calculated volume	12.048	A^3/atom
Fermi-level density of states	6.067	states/eV/cell

[6]
The following is a DFT calculation (PBE) of an optimized crystal structure of Co2CuW.

Cell: 3.7757 3.7757 3.3949 Å, 90.00 90.00 90.00°
Closest atoms and distances in Å follow each position.
Space group P4/mmm (No. 123)
Symmetry-distinct sites (fractional):
Co1 0.0000 0.5000 0.0000 x2  4 W 2.54, 4 Cu 2.54, 4 Co 2.67
Cu1 0.0000 0.0000 0.5000 x1  8 Co 2.54, 4 W 2.67
W1 0.5000 0.5000 0.5000 x1  8 Co 2.54, 4 Cu 2.67

## Properties
electronic total energy	-7.629	eV/atom
magnetization	0.00	μB/f.u.
energy above the most stable polymorph in this dataset	133	meV per atom
calculated volume	12.099	A^3/atom
Fermi-level density of states	4.163	states/eV/cell

[7]
The following is a DFT calculation (PBE) of an optimized crystal structure of Co2CuW.

Cell: 5.3391 6.8862 2.6774 Å, 90.00 90.00 90.00°
Closest atoms and distances in Å follow each position.
Space group Cmmm (No. 65)
Symmetry-distinct sites (fractional):
Co1 0.2500 0.2500 0.0000 x4  4 W 2.56, 4 Cu 2.56, 4 Co 2.67-2.68
Cu1 0.0000 0.0000 0.5000 x2  8 Co 2.56, 2 W 2.67, 2 Cu 2.68
W1 0.0000 0.5000 0.5000 x2  8 Co 2.56, 2 Cu 2.67, 2 W 2.68

## Properties
electronic total energy	-7.598	eV/atom
magnetization	0.00	μB/f.u.
energy above the most stable polymorph in this dataset	165	meV per atom
calculated volume	12.305	A^3/atom
Fermi-level density of states	10.071	states/eV/cell

[8]
The following is a DFT calculation (PBE) of an optimized crystal structure of Co2CuW.

Cell: 8.7447 2.6334 4.3958 Å, 90.00 102.30 90.00°
Closest atoms and distances in Å follow each position.
Space group Cm (No. 8)
Symmetry-distinct sites (fractional):
Co1 0.0000 0.0000 0.0000 x2  4 Co 2.47-2.63, 3 Cu 2.54-2.58, 4 W 2.55-2.58
Co2 0.2288 0.5000 0.2688 x2  4 Co 2.47-2.63, 3 W 2.53-2.60, 4 Cu 2.54-2.59
Cu1 0.2470 0.0000 0.7828 x2  7 Co 2.54-2.59, 2 Cu 2.63, 3 W 2.67-2.72
W1 0.4843 0.0000 0.4894 x2  7 Co 2.53-2.60, 2 W 2.63, 3 Cu 2.67-2.72

## Properties
electronic total energy	-7.623	eV/atom
magnetization	1.41	μB/f.u.
energy above the most stable polymorph in this dataset	140	meV per atom
calculated volume	12.363	A^3/atom
Fermi-level density of states	7.911	states/eV/cell

[9]
The following is a DFT calculation (PBE) of an optimized crystal structure of Co4CuW.

Cell: 6.5238 6.5238 6.5238 Å, 90.00 90.00 90.00°
Closest atoms and distances in Å follow each position.
Space group F-43m (No. 216)
Symmetry-distinct sites (fractional):
Co1 0.1243 0.1243 0.1243 x16  6 Co 2.29-2.32
Cu1 0.2500 0.2500 0.7500 x4  12 Co 2.70, 4 W 2.82
W1 0.0000 0.0000 0.5000 x4  12 Co 2.71, 4 Cu 2.82

## Properties
electronic total energy	-7.469	eV/atom
magnetization	0.00	μB/f.u.
calculated volume	11.569	A^3/atom
Fermi-level density of states	26.422	states/eV/cell

[10]
The following is a DFT calculation (PBE) of an optimized crystal structure of CoCuW.

Cell: 5.5912 5.5912 5.5912 Å, 90.00 90.00 90.00°
Closest atoms and distances in Å follow each position.
Space group F-43m (No. 216)
Symmetry-distinct sites (fractional):
Co1 0.0000 0.0000 0.0000 x4  4 W 2.42, 4 Cu 2.42
Cu1 0.2500 0.2500 0.2500 x4  4 Co 2.42
W1 0.2500 0.2500 0.7500 x4  4 Co 2.42

## Properties
electronic total energy	-7.449	eV/atom
magnetization	1.02	μB/f.u.
energy above the most stable polymorph in this dataset	441	meV per atom
calculated volume	14.566	A^3/atom
Fermi-level density of states	17.710	states/eV/cell

[11]
The following is a DFT calculation (PBE) of an optimized crystal structure of CoCuW.

Cell: 2.5841 4.6283 13.5069 Å, 90.00 90.00 90.00°
Closest atoms and distances in Å follow each position.
Space group Immm (No. 71)
Symmetry-distinct sites (fractional):
Co1 0.0000 0.0000 0.1572 x4  1 W 2.28, 2 Cu 2.43
Cu1 0.0000 0.2549 0.0000 x4  2 Cu 2.27-2.36, 2 Co 2.43
W1 0.0000 0.0000 0.3259 x4  1 Co 2.28

## Properties
electronic total energy	-7.672	eV/atom
magnetization	0.00	μB/f.u.
energy above the most stable polymorph in this dataset	218	meV per atom
calculated volume	13.462	A^3/atom
Fermi-level density of states	10.528	states/eV/cell

[12]
The following is a DFT calculation (PBE) of an optimized crystal structure of CoCu4W.

Cell: 6.6634 6.6634 6.6634 Å, 90.00 90.00 90.00°
Closest atoms and distances in Å follow each position.
Space group F-43m (No. 216)
Symmetry-distinct sites (fractional):
Co1 0.0000 0.0000 0.0000 x4  12 Cu 2.76, 4 W 2.89
Cu1 0.1253 0.1253 0.6253 x16  6 Cu 2.35-2.36
W1 0.2500 0.2500 0.2500 x4  12 Cu 2.76, 4 Co 2.89

## Properties
electronic total energy	-5.754	eV/atom
magnetization	0.67	μB/f.u.
calculated volume	12.328	A^3/atom
Fermi-level density of states	12.500	states/eV/cell